Record 1
# ZrTi4Ru

An optimized crystal structure of ZrTi4Ru (PBE, Alexandria via LeMat-Bulk).

Geometry as extended XYZ:
```
6
Lattice="4.897 -2.269 0.000 4.897 2.269 0.000 -3.075 0.000 4.675" Properties=species:S:1:pos:R:3 pbc="T T T"
Zr 0.000 0.000 0.000
Ti 0.898 0.000 3.039
Ti 2.812 0.000 0.892
Ti 3.906 0.000 3.783
Ti 5.820 0.000 1.636
Ru -1.538 0.000 2.337
```

Values from the calculation:
- space group = No. 12
- DFT formation energy (kJ per mole of atoms) = -23.28
- DFT total energy (eV per atom) = -8.475
- total magnetic moment (μB/f.u.) = 0.0

Record 2
# ZrTiRu

An optimized crystal structure of ZrTiRu (PBE, Alexandria via LeMat-Bulk).

Geometry as extended XYZ:
```
3
Lattice="4.424 0.000 0.000 -2.212 3.831 0.000 0.000 0.000 3.080" Properties=species:S:1:pos:R:3 pbc="T T T"
Zr 0.000 0.000 0.000
Ti 2.212 1.277 1.824
Ru 0.000 2.554 0.983
```

Values from the calculation:
- space group = No. 156
- DFT formation energy (kJ per mole of atoms) = -31.42
- DFT total energy (eV per atom) = -8.899
- total magnetic moment (μB/f.u.) = 0.0
- energy above the most stable polymorph in this dataset (eV/atom) = 0.1422

Record 3
# ZrTiRu

An optimized crystal structure of ZrTiRu (PBE, Alexandria via LeMat-Bulk).

Geometry as extended XYZ:
```
6
Lattice="5.026 -2.239 0.000 5.026 2.239 0.000 -3.046 0.000 4.651" Properties=species:S:1:pos:R:3 pbc="T T T"
Zr 0.944 0.000 1.176
Zr 6.062 0.000 3.475
Ti 4.053 0.000 1.053
Ti 2.953 0.000 3.598
Ru -0.603 0.000 3.513
Ru 7.609 0.000 1.138
```

Values from the calculation:
- space group = No. 12
- DFT formation energy (kJ per mole of atoms) = -37.16
- DFT total energy (eV per atom) = -8.958
- total magnetic moment (μB/f.u.) = 0.0
- energy above the most stable polymorph in this dataset (eV/atom) = 0.0827

Record 4
# Zr2TiRu

An optimized crystal structure of Zr2TiRu (PBE, Alexandria via LeMat-Bulk).

Geometry as extended XYZ:
```
8
Lattice="-3.743 3.743 2.879 3.743 -3.743 2.879 3.743 3.743 -2.879" Properties=species:S:1:pos:R:3 pbc="T T T"
Zr 5.615 1.609 -0.720
Zr 1.609 1.872 0.720
Zr -1.872 2.134 2.160
Zr 2.134 1.872 3.599
Ti 3.743 0.000 1.440
Ti 0.000 0.000 2.879
Ru 0.000 0.000 0.000
Ru 0.000 3.743 1.440
```

Values from the calculation:
- space group = No. 122
- DFT formation energy (kJ per mole of atoms) = 14.56
- DFT total energy (eV per atom) = -8.416
- total magnetic moment (μB/f.u.) = 0.0

Record 5
# ZrTiRu

An optimized crystal structure of ZrTiRu (PBE, Alexandria via LeMat-Bulk).

Geometry as extended XYZ:
```
6
Lattice="2.321 -6.938 0.000 2.321 6.938 0.000 0.000 0.000 3.223" Properties=species:S:1:pos:R:3 pbc="T T T"
Zr 2.321 4.570 0.000
Zr 2.321 -4.570 0.000
Ti 0.000 0.000 1.611
Ti 2.321 0.000 0.000
Ru 2.321 2.199 1.611
Ru 2.321 -2.199 1.611
```

Values from the calculation:
- space group = No. 65
- DFT formation energy (kJ per mole of atoms) = -38.06
- DFT total energy (eV per atom) = -8.967
- total magnetic moment (μB/f.u.) = 0.0
- energy above the most stable polymorph in this dataset (eV/atom) = 0.0733

Record 6
# ZrTi5Ru4

An optimized crystal structure of ZrTi5Ru4 (PBE, Alexandria via LeMat-Bulk).

Geometry as extended XYZ:
```
10
Lattice="3.090 0.000 0.000 0.000 3.090 0.000 0.000 0.000 16.372" Properties=species:S:1:pos:R:3 pbc="T T T"
Zr 0.000 0.000 0.000
Ti 1.545 1.545 2.044
Ti 1.545 1.545 5.102
Ti 1.545 1.545 8.186
Ti 1.545 1.545 11.269
Ti 1.545 1.545 14.327
Ru 0.000 0.000 3.553
Ru 0.000 0.000 6.645
Ru 0.000 0.000 9.726
Ru 0.000 0.000 12.819
```

Values from the calculation:
- space group = No. 123
- DFT formation energy (kJ per mole of atoms) = -58.31
- DFT total energy (eV per atom) = -9.117
- total magnetic moment (μB/f.u.) = 0.0

Record 7
# Zr3TiRu

An optimized crystal structure of Zr3TiRu (PBE, Alexandria via LeMat-Bulk).

Geometry as extended XYZ:
```
5
Lattice="4.983 0.000 0.000 0.000 4.983 0.000 0.000 0.000 4.983" Properties=species:S:1:pos:R:3 pbc="T T T"
Zr 0.000 0.000 2.492
Zr 0.000 2.492 0.000
Zr 2.492 0.000 0.000
Ti 2.492 2.492 2.492
Ru 0.000 0.000 0.000
```

Values from the calculation:
- space group = No. 221
- DFT formation energy (kJ per mole of atoms) = 47.22
- DFT total energy (eV per atom) = -8.074
- total magnetic moment (μB/f.u.) = 0.0
- energy above the most stable polymorph in this dataset (eV/atom) = 0.0000

Record 8
# ZrTiRu2

An optimized crystal structure of ZrTiRu2 (PBE, Alexandria via LeMat-Bulk).

Geometry as extended XYZ:
```
8
Lattice="-2.097 2.097 8.492 2.097 -2.097 8.492 2.097 2.097 -8.492" Properties=species:S:1:pos:R:3 pbc="T T T"
Zr 0.000 0.000 0.000
Zr 0.000 2.097 4.246
Ti 2.097 0.000 4.246
Ti 0.000 0.000 8.492
Ru 1.049 -0.772 6.369
Ru 1.325 1.049 2.123
Ru 1.049 2.870 -2.123
Ru 0.772 1.049 10.615
```

Values from the calculation:
- space group = No. 122
- DFT formation energy (kJ per mole of atoms) = 32.11
- DFT total energy (eV per atom) = -8.416
- total magnetic moment (μB/f.u.) = 0.0

Record 9
# ZrTi5Ru6

An optimized crystal structure of ZrTi5Ru6 (PBE, Alexandria via LeMat-Bulk).

Geometry as extended XYZ:
```
12
Lattice="-2.207 3.118 6.600 2.207 -3.118 6.600 2.207 3.118 -6.600" Properties=species:S:1:pos:R:3 pbc="T T T"
Zr 0.000 0.000 0.000
Ti 2.207 0.000 2.244
Ti 0.000 0.000 4.403
Ti 0.000 3.118 0.000
Ti 0.000 0.000 8.796
Ti 0.000 3.118 4.355
Ru 2.207 -1.536 4.363
Ru 2.207 1.607 0.000
Ru 0.000 1.582 2.237
Ru 2.207 1.536 4.363
Ru 0.000 1.510 6.600
Ru 0.000 4.653 2.237
```

Values from the calculation:
- space group = No. 71
- DFT formation energy (kJ per mole of atoms) = -69.34
- DFT total energy (eV per atom) = -9.358
- total magnetic moment (μB/f.u.) = 0.0

Record 10
# ZrTi3Ru

An optimized crystal structure of ZrTi3Ru (PBE, Alexandria via LeMat-Bulk).

Geometry as extended XYZ:
```
5
Lattice="4.643 0.000 0.000 0.000 4.643 0.000 0.000 0.000 4.643" Properties=species:S:1:pos:R:3 pbc="T T T"
Zr 0.000 0.000 0.000
Ti 0.000 0.000 2.322
Ti 0.000 2.322 0.000
Ti 2.322 0.000 0.000
Ru 2.322 2.322 2.322
```

Values from the calculation:
- space group = No. 221
- DFT formation energy (kJ per mole of atoms) = 135.38
- DFT total energy (eV per atom) = -6.899
- total magnetic moment (μB/f.u.) = 0.0
- energy above the most stable polymorph in this dataset (eV/atom) = 1.1097

Record 11
# ZrTi2Ru

An optimized crystal structure of ZrTi2Ru (PBE, Alexandria via LeMat-Bulk).

Geometry as extended XYZ:
```
4
Lattice="3.116 0.000 0.000 0.000 3.116 0.000 0.000 0.000 7.096" Properties=species:S:1:pos:R:3 pbc="T T T"
Zr 0.000 0.000 0.000
Ti 1.558 1.558 2.042
Ti 1.558 1.558 5.054
Ru 0.000 0.000 3.548
```

Values from the calculation:
- space group = No. 123
- DFT formation energy (kJ per mole of atoms) = -34.32
- DFT total energy (eV per atom) = -8.759
- total magnetic moment (μB/f.u.) = 0.0

Record 12
# Zr2TiRu2

An optimized crystal structure of Zr2TiRu2 (PBE, Alexandria via LeMat-Bulk).

Geometry as extended XYZ:
```
10
Lattice="6.518 0.000 0.000 0.000 6.518 0.000 0.000 0.000 4.365" Properties=species:S:1:pos:R:3 pbc="T T T"
Zr 1.176 2.083 0.000
Zr 2.083 5.342 0.000
Zr 4.435 1.176 0.000
Zr 5.342 4.435 0.000
Ti 0.000 0.000 2.182
Ti 3.259 3.259 2.182
Ru 0.917 4.176 2.182
Ru 2.342 0.917 2.182
Ru 4.176 5.601 2.182
Ru 5.601 2.342 2.182
```

Values from the calculation:
- space group = No. 127
- DFT formation energy (kJ per mole of atoms) = -33.03
- DFT total energy (eV per atom) = -9.051
- total magnetic moment (μB/f.u.) = 0.0

Record 13
# Zr5TiRu4

An optimized crystal structure of Zr5TiRu4 (PBE, Alexandria via LeMat-Bulk).

Geometry as extended XYZ:
```
10
Lattice="3.271 0.000 0.000 0.000 3.271 0.000 0.000 0.000 16.929" Properties=species:S:1:pos:R:3 pbc="T T T"
Zr 0.000 0.000 0.000
Zr 0.000 0.000 3.296
Zr 0.000 0.000 6.567
Zr 0.000 0.000 10.362
Zr 0.000 0.000 13.632
Ti 1.635 1.635 8.464
Ru 1.635 1.635 1.645
Ru 1.635 1.635 4.925
Ru 1.635 1.635 12.004
Ru 1.635 1.635 15.284
```

Values from the calculation:
- space group = No. 123
- DFT formation energy (kJ per mole of atoms) = -48.34
- DFT total energy (eV per atom) = -9.275
- total magnetic moment (μB/f.u.) = 0.0

Record 14
# Zr2TiRu

An optimized crystal structure of Zr2TiRu (PBE, Alexandria via LeMat-Bulk).

Geometry as extended XYZ:
```
4
Lattice="3.270 0.000 0.000 0.000 3.270 0.000 0.000 0.000 7.068" Properties=species:S:1:pos:R:3 pbc="T T T"
Zr 0.000 0.000 1.636
Zr 0.000 0.000 5.432
Ti 1.635 1.635 3.534
Ru 1.635 1.635 0.000
```

Values from the calculation:
- space group = No. 123
- DFT formation energy (kJ per mole of atoms) = -25.53
- DFT total energy (eV per atom) = -8.831
- total magnetic moment (μB/f.u.) = 0.0

Record 15
# Zr3TiRu

An optimized crystal structure of Zr3TiRu (PBE, Alexandria via LeMat-Bulk).

Geometry as extended XYZ:
```
5
Lattice="4.815 0.000 0.000 0.000 4.815 0.000 0.000 0.000 4.815" Properties=species:S:1:pos:R:3 pbc="T T T"
Zr 0.000 0.000 2.408
Zr 0.000 2.408 0.000
Zr 2.408 0.000 0.000
Ti 0.000 0.000 0.000
Ru 2.408 2.408 2.408
```

Values from the calculation:
- space group = No. 221
- DFT formation energy (kJ per mole of atoms) = 99.85
- DFT total energy (eV per atom) = -7.528
- total magnetic moment (μB/f.u.) = 0.0
- energy above the most stable polymorph in this dataset (eV/atom) = 0.5455

Record 16
# ZrTiRu

An optimized crystal structure of ZrTiRu (PBE, Alexandria via LeMat-Bulk).

Geometry as extended XYZ:
```
6
Lattice="-2.738 2.748 3.509 2.738 -2.748 3.509 2.738 2.748 -3.509" Properties=species:S:1:pos:R:3 pbc="T T T"
Zr 0.000 1.374 0.943
Zr 2.738 1.374 2.566
Ti 1.369 1.374 -1.754
Ti 1.369 -1.374 1.754
Ru 2.738 0.000 0.000
Ru 0.000 0.000 3.509
```

Values from the calculation:
- space group = No. 74
- DFT formation energy (kJ per mole of atoms) = -45.14
- DFT total energy (eV per atom) = -9.041
- total magnetic moment (μB/f.u.) = 0.0
- energy above the most stable polymorph in this dataset (eV/atom) = 0.0000

Record 17
# TlRu

An optimized crystal structure of TlRu (PBE, Alexandria via LeMat-Bulk).

Geometry as extended XYZ:
```
8
Lattice="5.442 0.000 0.000 0.000 5.442 0.000 0.000 0.000 5.500" Properties=species:S:1:pos:R:3 pbc="T T T"
Tl 1.087 1.087 0.000
Tl 1.633 3.808 2.750
Tl 3.808 1.633 2.750
Tl 4.354 4.354 0.000
Ru 1.020 1.020 2.750
Ru 1.701 3.741 0.000
Ru 3.741 1.701 0.000
Ru 4.421 4.421 2.750
```

Values from the calculation:
- space group = No. 136
- DFT formation energy (kJ per mole of atoms) = 92.97
- DFT total energy (eV per atom) = -4.858
- total magnetic moment (μB/f.u.) = 0.7

Record 18
# Tl3Ru

An optimized crystal structure of Tl3Ru (PBE, Alexandria via LeMat-Bulk).

Geometry as extended XYZ:
```
4
Lattice="3.368 0.000 0.000 -1.684 2.916 0.000 0.000 0.000 10.015" Properties=species:S:1:pos:R:3 pbc="T T T"
Tl 0.000 0.000 0.000
Tl 1.684 0.972 2.964
Tl 1.684 0.972 7.051
Ru 0.000 0.000 5.007
```

Values from the calculation:
- space group = No. 187
- DFT formation energy (kJ per mole of atoms) = 41.67
- DFT total energy (eV per atom) = -3.662
- total magnetic moment (μB/f.u.) = 0.0
- energy above the most stable polymorph in this dataset (eV/atom) = 0.1902

Record 19
# TlRu

An optimized crystal structure of TlRu (PBE, Alexandria via LeMat-Bulk).

Geometry as extended XYZ:
```
8
Lattice="0.000 4.206 7.043 2.771 0.000 7.043 2.771 4.206 0.000" Properties=species:S:1:pos:R:3 pbc="T T T"
Tl 2.078 0.389 5.282
Tl 3.463 2.492 8.803
Tl 2.078 5.919 5.282
Tl 3.463 8.022 8.803
Ru 2.078 3.154 4.085
Ru 2.078 3.154 6.479
Ru 3.463 5.257 7.606
Ru 3.463 5.257 10.000
```

Values from the calculation:
- space group = No. 70
- DFT formation energy (kJ per mole of atoms) = 68.03
- DFT total energy (eV per atom) = -5.116
- total magnetic moment (μB/f.u.) = 0.4

Record 20
# Tl3Ru

An optimized crystal structure of Tl3Ru (PBE, Alexandria via LeMat-Bulk).

Geometry as extended XYZ:
```
4
Lattice="0.000 3.605 3.605 3.605 0.000 3.605 3.605 3.605 0.000" Properties=species:S:1:pos:R:3 pbc="T T T"
Tl 0.000 0.000 0.000
Tl 1.803 1.803 1.803
Tl 5.408 5.408 5.408
Ru 3.605 3.605 3.605
```

Values from the calculation:
- space group = No. 225
- DFT formation energy (kJ per mole of atoms) = 66.34
- DFT total energy (eV per atom) = -3.406
- total magnetic moment (μB/f.u.) = 0.0
- energy above the most stable polymorph in this dataset (eV/atom) = 0.4459

Record 21
# TlRu

An optimized crystal structure of TlRu (PBE, Alexandria via LeMat-Bulk).

Geometry as extended XYZ:
```
4
Lattice="3.138 0.000 0.000 0.000 5.026 0.000 0.000 0.000 4.701" Properties=species:S:1:pos:R:3 pbc="T T T"
Tl 0.784 1.257 0.453
Tl 2.353 3.770 4.248
Ru 0.784 3.770 1.971
Ru 2.353 1.257 2.730
```

Values from the calculation:
- space group = No. 59
- DFT formation energy (kJ per mole of atoms) = 69.49
- DFT total energy (eV per atom) = -5.101
- total magnetic moment (μB/f.u.) = 0.0

Record 22
# TlRu

An optimized crystal structure of TlRu (PBE, Alexandria via LeMat-Bulk).

Geometry as extended XYZ:
```
6
Lattice="5.670 -1.507 0.000 5.670 1.507 0.000 -0.021 0.000 6.972" Properties=species:S:1:pos:R:3 pbc="T T T"
Tl 0.000 0.000 0.000
Tl 0.510 0.000 3.314
Tl 8.900 0.000 2.546
Ru 3.015 0.000 0.149
Ru 4.205 0.000 4.839
Ru 7.704 0.000 5.252
```

Values from the calculation:
- space group = No. 8
- DFT formation energy (kJ per mole of atoms) = 55.75
- DFT total energy (eV per atom) = -5.243
- total magnetic moment (μB/f.u.) = 0.2

Record 23
# TlRu4

An optimized crystal structure of TlRu4 (PBE, Alexandria via LeMat-Bulk).

Geometry as extended XYZ:
```
10
Lattice="5.167 0.000 0.000 0.000 5.167 0.000 0.000 0.000 6.335" Properties=species:S:1:pos:R:3 pbc="T T T"
Tl 1.292 3.875 1.584
Tl 3.875 1.292 4.751
Ru 0.119 1.292 0.771
Ru 1.292 0.119 3.939
Ru 1.292 2.465 3.939
Ru 2.465 1.292 0.771
Ru 2.703 3.875 5.563
Ru 3.875 2.703 2.396
Ru 3.875 5.048 2.396
Ru 5.048 3.875 5.563
```

Values from the calculation:
- space group = No. 137
- DFT formation energy (kJ per mole of atoms) = 76.43
- DFT total energy (eV per atom) = -7.102
- total magnetic moment (μB/f.u.) = 0.0
- energy above the most stable polymorph in this dataset (eV/atom) = 0.3463

Record 24
# Tl5Ru

An optimized crystal structure of Tl5Ru (PBE, Alexandria via LeMat-Bulk).

Geometry as extended XYZ:
```
6
Lattice="5.887 -1.669 0.000 5.887 1.669 0.000 -3.174 0.000 8.201" Properties=species:S:1:pos:R:3 pbc="T T T"
Tl 0.000 0.000 0.000
Tl -0.877 0.000 3.385
Tl 2.319 0.000 5.231
Tl 5.484 0.000 7.067
Tl 7.778 0.000 2.261
Ru 3.885 0.000 1.124
```

Values from the calculation:
- space group = No. 8
- DFT formation energy (kJ per mole of atoms) = 28.21
- DFT total energy (eV per atom) = -3.226
- total magnetic moment (μB/f.u.) = 0.0
- energy above the most stable polymorph in this dataset (eV/atom) = 0.0378